## BaMgSiPt (GGA-PBE)

Data for a geometry-optimized BaMgSiPt structure.

Geometry as POSCAR:
```
BaMgSiPt
1.0
-1.808 -4.673 -0.115
-4.865 -0.827 0.877
-3.013 -1.430 -3.741
Ba Mg Pt Si
1 1 1 1
Cartesian
-4.843 -3.465 -1.490
-7.264 -5.198 -2.235
-2.421 -1.733 -0.745
0.000 0.000 0.000
```

Computed properties:
- calculated total energy (eV per atom) = -3.751
- calculated density (g/cm3) = 7.2
- V (Å³ per atom) = 22.26